A geometry-optimized NaTmCdO3 structure, computed with PBE.

Unit cell a=3.4961 b=12.0664 c=8.7915 alpha=90.00 beta=90.00 gamma=90.00
Closest atoms and distances in Å follow each position.
Space group Cmcm (No. 63)
Symmetry-distinct sites (fractional):
1 Na 0.0000 0.1502 0.2500 (multiplicity 4)  4 O 2.35-2.37
2 Tm 0.0000 0.5000 0.0000 (multiplicity 4)  6 O 2.21-2.27
3 Cd 0.0000 0.1252 0.7500 (multiplicity 4)  2 O 2.07
4 O 0.0000 0.1193 0.5144 (multiplicity 8)  1 Cd 2.07, 2 Tm 2.27
5 O 0.0000 0.4825 0.7500 (multiplicity 4)  2 Tm 2.21, 2 Na 2.37, 2 Cd 2.45

## Properties
Raw total energy = -5.6147 eV per atom
Total magnetic moment = 0.000 μB/atom


A geometry-optimized BaPt2O4 structure, computed with PBE.

Unit cell a=9.5321 b=9.5321 c=9.5321 alpha=90.00 beta=90.00 gamma=90.00
Closest atoms and distances in Å follow each position.
Space group Fd-3m (No. 227, origin choice 2)
Symmetry-distinct sites (fractional):
1 Ba 0.1250 0.1250 0.1250 (multiplicity 8)  4 O 2.53
2 Pt 0.0000 0.0000 0.5000 (multiplicity 16)  6 O 2.15
3 O 0.0285 0.0285 0.7215 (multiplicity 32)  3 Pt 2.15

## Properties
Raw total energy = -5.7036 eV per atom
Total magnetic moment = 0.129 μB/atom
Offset from the most stable computed form = 346 meV/atom


A geometry-optimized HoTmNi2 structure, computed with PBE.

Unit cell a=5.3746 b=4.1417 c=6.9915 alpha=90.00 beta=90.03 gamma=90.00
Closest atoms and distances in Å follow each position.
Space group P2_1/m (No. 11)
Symmetry-distinct sites (fractional):
1 Ho 0.1302 0.2500 0.1798 (multiplicity 2)  7 Ni 2.84-2.89
2 Tm 0.3699 0.2500 0.6797 (multiplicity 2)  7 Ni 2.84-2.89
3 Ni 0.1247 0.7500 0.4621 (multiplicity 2)  2 Ni 2.52
4 Ni 0.3755 0.7500 0.9620 (multiplicity 2)  2 Ni 2.52

## Properties
Calculated formation energy = -0.49 eV/atom
Raw total energy = -5.5389 eV per atom
Total magnetic moment = 0.001 μB/atom


A geometry-optimized Nd3ErTm2Te2Os structure, computed with PBE.

Unit cell a=4.1053 b=14.5329 c=8.3939 alpha=90.00 beta=90.00 gamma=90.00
Closest atoms and distances in Å follow each position.
Space group Amm2 (No. 38)
Symmetry-distinct sites (fractional):
1 Nd 0.0000 0.0000 0.0000 (multiplicity 2)  4 Te 3.29, 1 Os 3.33, 4 Tm 3.56
2 Nd 0.0000 0.1988 0.5963 (multiplicity 4)  4 Te 3.29, 1 Os 3.34, 2 Er 3.56, 2 Tm 3.56
3 Er 0.5000 0.0000 0.6300 (multiplicity 2)  2 Os 2.83
4 Tm 0.5000 0.1161 0.2814 (multiplicity 4)  2 Os 2.83
5 Te 0.5000 0.1667 0.8976 (multiplicity 4)  6 Nd 3.29, 2 Tm 3.30, 1 Er 3.30
6 Os 0.0000 0.0000 0.3973 (multiplicity 2)  4 Tm 2.83, 2 Er 2.83

## Properties
Raw total energy = -5.8009 eV per atom
Total magnetic moment = 0.006 μB/atom


A geometry-optimized Tb3DyTe2C2 structure, computed with PBE.

Unit cell a=3.8493 b=3.8493 c=14.1034 alpha=90.00 beta=90.00 gamma=120.00
Closest atoms and distances in Å follow each position.
Space group P3m1 (No. 156)
Symmetry-distinct sites (fractional):
1 Tb 0.0000 0.0000 0.0000 (multiplicity 1)  3 C 2.59
2 Tb 0.0000 0.0000 0.3130 (multiplicity 1)  3 C 2.59
3 Tb 0.6667 0.3333 0.8124 (multiplicity 1)  3 C 2.59
4 Dy 0.6667 0.3333 0.4998 (multiplicity 1)  3 C 2.58
5 Te 0.0000 0.0000 0.6555 (multiplicity 1)  3 Dy 3.12, 3 Tb 3.14
6 Te 0.6667 0.3333 0.1564 (multiplicity 1)  6 Tb 3.13
7 C 0.3333 0.6667 0.4068 (multiplicity 1)  3 Dy 2.58, 3 Tb 2.59
8 C 0.3333 0.6667 0.9062 (multiplicity 1)  6 Tb 2.59

## Properties
Raw total energy = -6.2656 eV per atom
Total magnetic moment = 0.000 μB/atom


A geometry-optimized Lu3In3PdPt structure, computed with PBE.

Unit cell a=7.6281 b=7.6281 c=3.5657 alpha=90.00 beta=90.00 gamma=120.00
Closest atoms and distances in Å follow each position.
Space group P-6 (No. 174)
Symmetry-distinct sites (fractional):
1 Lu 0.0066 0.4230 0.0000 (multiplicity 3)  2 Pt 2.87, 2 Pd 2.93, 2 In 3.20
2 In 0.2347 0.2306 0.5000 (multiplicity 3)  1 Pd 2.98, 1 Pt 3.02, 2 In 3.07, 6 Lu 3.20-3.30
3 Pd 0.6667 0.3333 0.5000 (multiplicity 1)  6 Lu 2.93, 3 In 2.98
4 Pt 0.3333 0.6667 0.5000 (multiplicity 1)  6 Lu 2.87, 3 In 3.02

## Properties
Raw total energy = -4.9365 eV per atom
Total magnetic moment = 0.002 μB/atom


A geometry-optimized ErTmMgAl structure, computed with PBE.

Unit cell a=7.2698 b=7.2698 c=7.2698 alpha=90.00 beta=90.00 gamma=90.00
Closest atoms and distances in Å follow each position.
Space group F-43m (No. 216)
Symmetry-distinct sites (fractional):
1 Er 0.0000 0.0000 0.0000 (multiplicity 4)  4 Al 3.15, 4 Mg 3.15
2 Tm 0.0000 0.0000 0.5000 (multiplicity 4)  4 Mg 3.15, 4 Al 3.15
3 Mg 0.2500 0.2500 0.2500 (multiplicity 4)  4 Er 3.15, 4 Tm 3.15
4 Al 0.2500 0.2500 0.7500 (multiplicity 4)  4 Tm 3.15, 4 Er 3.15

## Properties
Raw total energy = -3.8420 eV per atom
Total magnetic moment = 0.003 μB/atom


A geometry-optimized NdYSi2I2 structure, computed with PBE.

Unit cell a=4.1569 b=4.1569 c=12.3470 alpha=90.00 beta=90.00 gamma=120.00
Closest atoms and distances in Å follow each position.
Space group P3m1 (No. 156)
Symmetry-distinct sites (fractional):
1 Nd 0.0000 0.0000 0.0000 (multiplicity 1)  6 Si 3.07-3.17, 3 I 3.22
2 Y 0.0000 0.0000 0.6867 (multiplicity 1)  6 Si 3.00-3.09, 3 I 3.15
3 Si 0.3333 0.6667 0.8447 (multiplicity 1)  3 Si 2.41
4 Si 0.6667 0.3333 0.8321 (multiplicity 1)  3 Si 2.41
5 I 0.3333 0.6667 0.5214 (multiplicity 1)  3 Y 3.15
6 I 0.6667 0.3333 0.1741 (multiplicity 1)  3 Nd 3.22

## Properties
Raw total energy = -5.2402 eV per atom
Total magnetic moment = 0.001 μB/atom


A geometry-optimized Li2NbSi2 structure, computed with PBE.

Unit cell a=8.8859 b=20.8515 c=3.4399 alpha=90.00 beta=90.00 gamma=90.00
Closest atoms and distances in Å follow each position.
Space group Fdd2 (No. 43)
Symmetry-distinct sites (fractional):
1 Li 0.1003 0.3514 0.0000 (multiplicity 16)  3 Si 2.56-2.68, 2 Li 2.58
2 Nb 0.0000 0.0000 0.2569 (multiplicity 8)  6 Si 2.58-2.75
3 Si 0.0481 0.2151 0.0041 (multiplicity 16)  2 Si 2.41, 3 Li 2.56-2.68, 2 Nb 2.58-2.60

## Properties
Raw total energy = -5.0985 eV per atom
Total magnetic moment = 0.032 μB/atom


A geometry-optimized Gd2TmIn3AgIr2 structure, computed with PBE.

Unit cell a=3.8571 b=13.2986 c=7.7486 alpha=90.00 beta=90.00 gamma=90.00
Closest atoms and distances in Å follow each position.
Space group Amm2 (No. 38)
Symmetry-distinct sites (fractional):
1 Gd 0.0000 0.2063 0.0000 (multiplicity 4)  4 Ir 3.03-3.04, 4 In 3.13-3.39, 1 Ag 3.18
2 Tm 0.0000 0.0000 0.3811 (multiplicity 2)  4 Ir 2.99, 2 In 3.13, 1 Ag 3.19
3 In 0.5000 0.0000 0.0631 (multiplicity 2)  2 Ir 2.83, 2 Ag 2.85, 2 Tm 3.13
4 In 0.5000 0.1332 0.6589 (multiplicity 4)  2 Ag 2.82, 2 Ir 2.85-2.89, 2 Gd 3.13
5 Ag 0.0000 0.0000 0.7925 (multiplicity 2)  6 In 2.82-2.85
6 Ir 0.5000 0.1644 0.2955 (multiplicity 4)  3 In 2.83-2.89, 2 Tm 2.99, 4 Gd 3.03-3.04

## Properties
Raw total energy = -5.3329 eV per atom
Total magnetic moment = 0.002 μB/atom


A geometry-optimized AgBiTe2 structure, computed with PBE.

Unit cell a=7.5623 b=7.5623 c=7.5623 alpha=90.00 beta=90.00 gamma=90.00
Closest atoms and distances in Å follow each position.
Space group F-43m (No. 216)
Symmetry-distinct sites (fractional):
1 Ag 0.0000 0.0000 0.0000 (multiplicity 4)  4 Te 3.27, 4 Bi 3.27
2 Bi 0.2500 0.2500 0.2500 (multiplicity 4)  4 Ag 3.27, 4 Te 3.27
3 Te 0.0000 0.0000 0.5000 (multiplicity 4)  4 Bi 3.27, 4 Te 3.27
4 Te 0.2500 0.2500 0.7500 (multiplicity 4)  4 Te 3.27, 4 Ag 3.27

## Properties
Raw total energy = -3.0165 eV per atom


A geometry-optimized Tl2Pt9 structure, computed with PBE.

Unit cell a=2.9063 b=2.9063 c=36.7064 alpha=90.00 beta=90.00 gamma=120.00
Closest atoms and distances in Å follow each position.
Space group P-3m1 (No. 164)
Symmetry-distinct sites (fractional):
1 Tl 0.3333 0.6667 0.3088 (multiplicity 2)  6 Tl 2.91, 3 Pt 3.05
2 Pt 0.0000 0.0000 0.0000 (multiplicity 1)  12 Pt 2.75-2.91
3 Pt 0.0000 0.0000 0.1785 (multiplicity 2)  12 Pt 2.76-2.91
4 Pt 0.3333 0.6667 0.1189 (multiplicity 2)  12 Pt 2.75-2.91
5 Pt 0.3333 0.6667 0.7606 (multiplicity 2)  9 Pt 2.79-2.91, 3 Tl 3.05
6 Pt 0.3333 0.6667 0.9405 (multiplicity 2)  12 Pt 2.75-2.91

## Properties
Raw total energy = -5.2348 eV per atom
Total magnetic moment = 0.001 μB/atom


A geometry-optimized CsNbO3 structure, computed with PBE.

Unit cell a=5.5837 b=5.5837 c=19.8175 alpha=90.00 beta=90.00 gamma=120.00
Closest atoms and distances in Å follow each position.
Space group R-3 (No. 148, hexagonal axes)
Symmetry-distinct sites (fractional):
1 Cs 0.0000 0.0000 0.1292 (multiplicity 6)  6 O 2.92-3.25
2 Nb 0.0000 0.0000 0.3431 (multiplicity 6)  6 O 1.94-2.13
3 O 0.0060 0.5394 0.9388 (multiplicity 18)  2 Nb 1.94-2.13

## Properties
Raw total energy = -7.5441 eV per atom
Total magnetic moment = 0.000 μB/atom


A geometry-optimized Cu2Ag structure, computed with PBE.

Unit cell a=2.7337 b=3.6239 c=25.2572 alpha=90.00 beta=90.00 gamma=90.00
Closest atoms and distances in Å follow each position.
Space group Immm (No. 71)
Symmetry-distinct sites (fractional):
1 Cu 0.0000 0.0000 0.1272 (multiplicity 4)  7 Cu 2.48-2.73, 4 Ag 2.71
2 Cu 0.0000 0.0000 0.2254 (multiplicity 4)  12 Cu 2.48-2.73
3 Cu 0.0000 0.0000 0.3243 (multiplicity 4)  11 Cu 2.50-2.73, 1 Ag 2.70
4 Ag 0.0000 0.0000 0.0000 (multiplicity 2)  10 Ag 2.73-2.86
5 Ag 0.0000 0.0000 0.4313 (multiplicity 4)  5 Cu 2.70-2.71, 6 Ag 2.73-2.86

## Properties
Calculated formation energy = 0.06 eV/atom
Raw total energy = -3.3565 eV per atom
Offset from the most stable computed form = 17 meV/atom


A geometry-optimized Cd2GeMo structure, computed with PBE.

Unit cell a=6.6458 b=6.6458 c=6.6458 alpha=90.00 beta=90.00 gamma=90.00
Closest atoms and distances in Å follow each position.
Space group F-43m (No. 216)
Symmetry-distinct sites (fractional):
1 Cd 0.0000 0.0000 0.0000 (multiplicity 4)  4 Cd 2.88, 4 Mo 2.88
2 Cd 0.2500 0.2500 0.2500 (multiplicity 4)  4 Ge 2.88, 4 Cd 2.88
3 Ge 0.0000 0.0000 0.5000 (multiplicity 4)  4 Mo 2.88, 4 Cd 2.88
4 Mo 0.2500 0.2500 0.7500 (multiplicity 4)  4 Ge 2.88, 4 Cd 2.88

## Properties
Raw total energy = -3.7412 eV per atom
Total magnetic moment = 0.010 μB/atom


A geometry-optimized DyLuFe2Si2 structure, computed with PBE.

Unit cell a=4.0181 b=4.0181 c=6.3687 alpha=90.00 beta=90.00 gamma=90.00
Closest atoms and distances in Å follow each position.
Space group P4mm (No. 99)
Symmetry-distinct sites (fractional):
1 Dy 0.0000 0.0000 0.0000 (multiplicity 1)  4 Fe 2.88, 6 Si 2.98-3.22
2 Lu 0.5000 0.5000 0.3688 (multiplicity 1)  4 Fe 2.81, 5 Si 2.95-3.14
3 Fe 0.0000 0.5000 0.6764 (multiplicity 2)  4 Si 2.32-2.33
4 Si 0.0000 0.0000 0.4939 (multiplicity 1)  4 Fe 2.32
5 Si 0.5000 0.5000 0.8614 (multiplicity 1)  4 Fe 2.33

## Properties
Raw total energy = -6.7459 eV per atom
Total magnetic moment = 0.013 μB/atom


A geometry-optimized TlCuSiS3 structure, computed with PBE.

Unit cell a=3.3856 b=14.1017 c=9.8190 alpha=90.00 beta=90.00 gamma=90.00
Closest atoms and distances in Å follow each position.
Space group Cmcm (No. 63)
Symmetry-distinct sites (fractional):
1 Tl 0.0000 0.2252 0.2500 (multiplicity 4)  4 S 3.13-3.17, 2 Cu 3.17, 2 Tl 3.39
2 Cu 0.0000 0.0847 0.7500 (multiplicity 4)  4 S 2.24-2.39
3 Si 0.0000 0.5000 0.0000 (multiplicity 4)  6 S 2.34-2.50
4 S 0.0000 0.1133 0.5252 (multiplicity 8)  1 Cu 2.24, 2 Si 2.34
5 S 0.0000 0.4649 0.7500 (multiplicity 4)  2 Cu 2.39, 2 Si 2.50

## Properties
Raw total energy = -4.2643 eV per atom
Offset from the most stable computed form = 84 meV/atom


A geometry-optimized MgCdCuSb structure, computed with PBE.

Unit cell a=6.9208 b=6.9208 c=6.9208 alpha=90.00 beta=90.00 gamma=90.00
Closest atoms and distances in Å follow each position.
Space group F-43m (No. 216)
Symmetry-distinct sites (fractional):
1 Mg 0.0000 0.0000 0.0000 (multiplicity 4)  4 Cd 3.00, 4 Sb 3.00
2 Cd 0.2500 0.2500 0.7500 (multiplicity 4)  4 Mg 3.00, 4 Cu 3.00
3 Cu 0.0000 0.0000 0.5000 (multiplicity 4)  4 Cd 3.00, 4 Sb 3.00
4 Sb 0.2500 0.2500 0.2500 (multiplicity 4)  4 Mg 3.00, 4 Cu 3.00

## Properties
Raw total energy = -2.4880 eV per atom
Offset from the most stable computed form = 0 meV/atom


A geometry-optimized Li4Zn2CoPt structure, computed with PBE.

Unit cell a=4.1788 b=4.1788 c=5.9186 alpha=90.00 beta=90.00 gamma=90.00
Closest atoms and distances in Å follow each position.
Space group P-4m2 (No. 115)
Symmetry-distinct sites (fractional):
1 Li 0.0000 0.0000 0.0000 (multiplicity 1)  4 Zn 2.52, 4 Li 2.55
2 Li 0.0000 0.5000 0.2456 (multiplicity 2)  2 Co 2.55, 4 Li 2.55-2.58, 2 Pt 2.58
3 Li 0.5000 0.5000 0.5000 (multiplicity 1)  4 Li 2.58, 4 Zn 2.60
4 Zn 0.0000 0.5000 0.7617 (multiplicity 2)  2 Co 2.52, 4 Li 2.52-2.60, 2 Pt 2.60
5 Co 0.5000 0.5000 0.0000 (multiplicity 1)  4 Zn 2.52, 4 Li 2.55
6 Pt 0.0000 0.0000 0.5000 (multiplicity 1)  4 Li 2.58, 4 Zn 2.60

## Properties
Raw total energy = -3.1505 eV per atom
Total magnetic moment = 0.001 μB/atom


A geometry-optimized ErAgAu structure, computed with PBE.

Unit cell a=3.7047 b=3.7047 c=9.0968 alpha=90.00 beta=90.00 gamma=90.00
Closest atoms and distances in Å follow each position.
Space group P4/mmm (No. 123)
Symmetry-distinct sites (fractional):
1 Er 0.0000 0.0000 0.0000 (multiplicity 1)  2 Ag 3.02, 8 Au 3.03
2 Er 0.5000 0.5000 0.5000 (multiplicity 1)  2 Au 3.02, 8 Ag 3.03
3 Ag 0.0000 0.0000 0.3323 (multiplicity 2)  4 Au 3.02, 5 Er 3.02-3.03, 1 Ag 3.05
4 Au 0.5000 0.5000 0.1675 (multiplicity 2)  4 Ag 3.02, 5 Er 3.02-3.03, 1 Au 3.05

## Properties
Calculated formation energy = -0.63 eV/atom
Raw total energy = -4.1796 eV per atom
Total magnetic moment = 0.000 μB/atom
Offset from the most stable computed form = 12 meV/atom